No. 1
DFT (PBE) results for an optimized crystal structure of Nd3Al7Pd4.

Summary:
DFT total energy   -5.14 eV/atom
Crystal system   monoclinic
Calculated formation energy   -10.701 eV/f.u.
Total moment   0.000 μB/atom

a b c (Å): 4.358 8.249 8.532
angles (deg): 69.26 75.20 74.68
Element x y z (fractional)
Al: 0.152 0.621 0.076
Pd: 0.660 0.467 0.213
Pd: 0.120 0.106 0.655
Al: 0.000 0.000 0.000
Pd: 0.340 0.533 0.787
Al: 0.496 0.214 0.793
Nd: 0.000 0.500 0.500
Al: 0.680 0.166 0.474
Al: 0.848 0.379 0.924
Nd: 0.310 0.188 0.192
Pd: 0.880 0.894 0.345
Nd: 0.690 0.812 0.808
Al: 0.320 0.834 0.526
Al: 0.504 0.786 0.207

---

No. 2
DFT (PBE) results for an optimized crystal structure of Cr2IrPt.

Summary:
DFT total energy   -8.50 eV/atom
Crystal system   trigonal
Calculated formation energy   0.150 eV/f.u.
Total moment   0.119 μB/atom

a b c (Å): 8.865 8.865 8.865
angles (deg): 17.45 17.45 17.45
Last column: magnetic moment on the atom in μB.
Element x y z (fractional)
Pt: 0.745 0.745 0.745  0.01
Cr: 0.997 0.997 0.997  0.29
Ir: 0.507 0.507 0.507  -0.01
Cr: 0.250 0.250 0.250  0.15

---

No. 3
DFT (PBE) results for an optimized crystal structure of Pa2HgGe.

Summary:
DFT total energy   -6.06 eV/atom
Crystal system   tetragonal
Calculated formation energy   -0.323 eV/f.u.
Total moment   0.285 μB/atom

a b c (Å): 3.691 3.691 7.004
angles (deg): 90.00 90.00 90.00
Last column: magnetic moment on the atom in μB.
Element x y z (fractional)
Hg: 0.500 0.500 0.500  0.00
Pa: 0.000 0.000 0.782  0.51
Ge: 0.500 0.500 0.000  -0.02
Pa: 0.000 0.000 0.218  0.51

---

No. 4
DFT (PBE) results for an optimized crystal structure of AcLuGa4.

Summary:
DFT total energy   -3.86 eV/atom
Crystal system   cubic
Calculated formation energy   -2.431 eV/f.u.
Total moment   0.000 μB/atom

a b c (Å): 5.699 5.699 5.699
angles (deg): 60.00 60.00 60.00
Element x y z (fractional)
Ga: 0.124 0.625 0.625
Ga: 0.625 0.625 0.625
Ga: 0.625 0.124 0.625
Ga: 0.625 0.625 0.124
Lu: 0.000 0.000 0.000
Ac: 0.250 0.250 0.250

---

No. 5
DFT (PBE) results for an optimized crystal structure of PaAlIr2.

Summary:
DFT total energy   -8.56 eV/atom
Crystal system   orthorhombic
Calculated formation energy   -3.298 eV/f.u.
Total moment   0.000 μB/atom

a b c (Å): 4.277 5.876 5.889
angles (deg): 90.00 90.00 90.00
Element x y z (fractional)
Pa: 0.000 0.116 0.500
Pa: 0.500 0.884 0.000
Ir: 0.000 0.689 0.256
Ir: 0.000 0.689 0.744
Ir: 0.500 0.311 0.244
Al: 0.000 0.339 0.000
Ir: 0.500 0.311 0.756
Al: 0.500 0.661 0.500

---

No. 6
DFT (PBE) results for an optimized crystal structure of Tb2Th4Sc3.

Summary:
DFT total energy   -6.31 eV/atom
Crystal system   monoclinic
Calculated formation energy   1.114 eV/f.u.
Total moment   0.000 μB/atom

a b c (Å): 5.975 9.719 9.719
angles (deg): 72.23 83.67 83.67
Element x y z (fractional)
Sc: 0.250 0.387 0.613
Sc: 0.079 0.950 0.721
Th: 0.190 0.742 0.478
Th: 0.519 0.078 0.813
Tb: 0.845 0.412 0.144
Th: 0.981 0.187 0.922
Tb: 0.155 0.588 0.856
Tb: 0.345 0.144 0.412
Sc: 0.579 0.721 0.950
Th: 0.690 0.478 0.742
Th: 0.810 0.258 0.522
Th: 0.310 0.522 0.258
Tb: 0.655 0.856 0.588
Th: 0.481 0.922 0.187
Sc: 0.750 0.613 0.387
Sc: 0.921 0.050 0.279
Sc: 0.421 0.279 0.050
Th: 0.019 0.813 0.078

---

No. 7
DFT (PBE) results for an optimized crystal structure of Sb3SeBr.

Summary:
DFT total energy   -2.91 eV/atom
Crystal system   cubic
Total moment   0.000 μB/atom
Raw formation energy   0.597 eV per atom

a b c (Å): 5.481 5.481 5.481
angles (deg): 90.00 90.00 90.00
Element x y z (fractional)
Se: 0.000 0.000 0.000
Br: 0.500 0.500 0.500
Sb: 0.500 0.000 0.000
Sb: 0.000 0.500 0.000
Sb: 0.000 0.000 0.500

---

No. 8
DFT (PBE) results for an optimized crystal structure of DyPaIrPt.

Summary:
DFT total energy   -8.32 eV/atom
Crystal system   orthorhombic
Calculated formation energy   -4.281 eV/f.u.
Total moment   0.000 μB/atom

a b c (Å): 3.734 4.190 5.907
angles (deg): 90.00 108.43 90.00
Element x y z (fractional)
Pa: 0.868 0.500 0.736
Pt: 0.589 0.500 0.177
Ir: 0.400 0.000 0.800
Dy: 0.144 0.000 0.287

---

No. 9
DFT (PBE) results for an optimized crystal structure of Sr5Tl2Ga.

Summary:
DFT total energy   -2.33 eV/atom
Crystal system   orthorhombic
Calculated formation energy   -2.436 eV/f.u.
Total moment   0.000 μB/atom

a b c (Å): 5.663 7.420 14.148
angles (deg): 90.00 90.00 90.00
Element x y z (fractional)
Tl: 0.500 0.865 0.139
Sr: 0.000 0.369 0.783
Ga: 0.000 0.000 0.500
Tl: 0.500 0.365 0.361
Sr: 0.500 0.332 0.101
Sr: 0.000 0.500 0.500
Sr: 0.500 0.832 0.399
Ga: 0.000 0.500 0.000
Tl: 0.500 0.135 0.861
Sr: 0.000 0.631 0.217
Tl: 0.500 0.635 0.639
Sr: 0.000 0.131 0.283
Sr: 0.000 0.000 0.000
Sr: 0.000 0.869 0.717
Sr: 0.500 0.668 0.899
Sr: 0.500 0.168 0.601

---

No. 10
DFT (PBE) results for an optimized crystal structure of Cs2CaPbI6.

Summary:
DFT total energy   -2.98 eV/atom
Crystal system   monoclinic
Total moment   0.000 μB/atom
Raw formation energy   -1.306 eV per atom

a b c (Å): 8.677 8.969 12.503
angles (deg): 90.00 90.06 90.00
Element x y z (fractional)
I: 0.575 0.008 0.246
I: 0.302 0.708 0.038
Pb: 0.000 0.500 0.000
I: 0.802 0.792 0.538
I: 0.795 0.800 0.963
I: 0.198 0.208 0.462
I: 0.698 0.292 0.962
Ca: 0.500 0.000 0.000
Pb: 0.500 0.000 0.500
Ca: 0.000 0.500 0.500
I: 0.075 0.492 0.746
I: 0.425 0.992 0.754
I: 0.925 0.508 0.254
Cs: 0.980 0.065 0.750
Cs: 0.480 0.435 0.250
I: 0.205 0.200 0.037
I: 0.295 0.700 0.463
I: 0.705 0.300 0.537
Cs: 0.520 0.565 0.750
Cs: 0.020 0.935 0.250

---

No. 11
DFT (PBE) results for an optimized crystal structure of TiPtS2N.

Summary:
DFT total energy   -5.75 eV/atom
Crystal system   tetragonal
Total moment   0.000 μB/atom
Raw formation energy   0.349 eV per atom

a b c (Å): 4.799 4.799 3.665
angles (deg): 90.00 90.00 90.00
Element x y z (fractional)
S: 0.500 0.000 0.000
Pt: 0.500 0.500 0.500
N: 0.000 0.000 0.500
S: 0.000 0.500 0.000
Ti: 0.000 0.000 0.000

---

No. 12
DFT (PBE) results for an optimized crystal structure of GdScNiRh.

Summary:
DFT total energy   -9.00 eV/atom
Crystal system   cubic
Calculated formation energy   -2.439 eV/f.u.
Total moment   1.771 μB/atom

a b c (Å): 4.714 4.714 4.714
angles (deg): 60.00 60.00 60.00
Last column: magnetic moment on the atom in μB.
Element x y z (fractional)
Gd: 0.000 0.000 0.000  7.00
Sc: 0.500 0.500 0.500  0.01
Rh: 0.750 0.750 0.750  -0.03
Ni: 0.250 0.250 0.250  -0.01